AlCd2In | PBE | optimized geometry

Calculated formation energy (kJ/mol of atoms): 8
Energy above the lowest structure with this stoichiometry (meV/atom): 0
DOS at the Fermi energy (states/eV per cell): 3.1

```
data_AlCd2In
_chemical_formula_sum 'Al3 Cd6 In3'
_space_group_name_H-M_alt 'R -3 m'
_space_group_IT_number 166
_space_group_name_Hall '-R 3 2"'
_cell_length_a 3.1650
_cell_length_b 3.1650
_cell_length_c 30.7734
_cell_angle_alpha 90.00
_cell_angle_beta 90.00
_cell_angle_gamma 120.00
loop_
_atom_site_label
_atom_site_type_symbol
_atom_site_fract_x
_atom_site_fract_y
_atom_site_fract_z
Al1 Al 0.0000 0.0000 0.0000
Cd1 Cd 0.0000 0.0000 0.2543
In1 In 0.0000 0.0000 0.5000
```



CrCdMo | PBE | optimized geometry

Calculated formation energy (kJ/mol of atoms): 96
Energy above the lowest structure with this stoichiometry (meV/atom): 611
DOS at the Fermi energy (states/eV per cell): 10.5

```
data_CrCdMo
_chemical_formula_sum 'Cr4 Cd4 Mo4'
_space_group_name_H-M_alt 'F -4 3 m'
_space_group_IT_number 216
_space_group_name_Hall 'F -4 2 3'
_cell_length_a 6.093
_cell_length_b 6.093
_cell_length_c 6.093
_cell_angle_alpha 90.00
_cell_angle_beta 90.00
_cell_angle_gamma 90.00
loop_
_atom_site_label
_atom_site_type_symbol
_atom_site_fract_x
_atom_site_fract_y
_atom_site_fract_z
Cr1 Cr 0.000 0.000 0.000
Cd1 Cd 0.250 0.250 0.250
Mo1 Mo 0.250 0.250 0.750
```



Nb2ZnSi2 | PBE | optimized geometry

E_form (uncorrected) (eV/atom): -0.371
DOS at the Fermi energy (states/eV per cell): 5.6

```
data_Nb2ZnSi2
_chemical_formula_sum 'Nb4 Zn2 Si4'
_space_group_name_H-M_alt 'P 4/m b m'
_space_group_IT_number 127
_space_group_name_Hall '-P 4 2ab'
_cell_length_a 6.620
_cell_length_b 6.620
_cell_length_c 3.540
_cell_angle_alpha 90.00
_cell_angle_beta 90.00
_cell_angle_gamma 90.00
loop_
_atom_site_label
_atom_site_type_symbol
_atom_site_fract_x
_atom_site_fract_y
_atom_site_fract_z
Nb1 Nb 0.168 0.332 0.000
Zn1 Zn 0.000 0.000 0.500
Si1 Si 0.129 0.629 0.500
```



SrSc2Pt3 | PBE | optimized geometry

Calculated formation energy (kJ/mol of atoms): -106
DOS at the Fermi energy (states/eV per cell): 2.2

```
data_SrSc2Pt3
_chemical_formula_sum 'Sr1 Sc2 Pt3'
_space_group_name_H-M_alt 'P 4/m m m'
_space_group_IT_number 123
_space_group_name_Hall '-P 4 2'
_cell_length_a 3.358
_cell_length_b 3.358
_cell_length_c 10.687
_cell_angle_alpha 90.00
_cell_angle_beta 90.00
_cell_angle_gamma 90.00
loop_
_atom_site_label
_atom_site_type_symbol
_atom_site_fract_x
_atom_site_fract_y
_atom_site_fract_z
Sr1 Sr 0.000 0.000 0.000
Sc1 Sc 0.000 0.000 0.343
Pt1 Pt 0.500 0.500 0.211
Pt2 Pt 0.500 0.500 0.500
```



Zr6ZnGa3 | PBE | optimized geometry

Calculated formation energy (kJ/mol of atoms): -22
DOS at the Fermi energy (states/eV per cell): 18.0

```
data_Zr6ZnGa3
_chemical_formula_sum 'Zr12 Zn2 Ga6'
_space_group_name_H-M_alt 'P 1 21/c 1'
_space_group_IT_number 14
_cell_length_a 5.493
_cell_length_b 7.751
_cell_length_c 11.262
_cell_angle_alpha 90.00
_cell_angle_beta 118.88
_cell_angle_gamma 90.00
loop_
_space_group_symop_operation_xyz
'x,y,z'
'-x,-y,-z'
'-x,y+1/2,-z+1/2'
'x,-y+1/2,z+1/2'
loop_
_atom_site_label
_atom_site_type_symbol
_atom_site_fract_x
_atom_site_fract_y
_atom_site_fract_z
Zr1 Zr 0.019 0.169 0.429
Zr2 Zr 0.340 0.669 0.430
Zr3 Zr 0.406 0.034 0.250
Zn1 Zn 0.500 0.000 0.500
Ga1 Ga 0.000 0.000 0.000
Ga2 Ga 0.132 0.128 0.750
```



Yb2Ge3 | PBE | optimized geometry

Calculated formation energy (kJ/mol of atoms): -36
DOS at the Fermi energy (states/eV per cell): 2.0

```
data_Yb2Ge3
_chemical_formula_sum 'Yb2 Ge3'
_space_group_name_H-M_alt 'P -6 m 2'
_space_group_IT_number 187
_space_group_name_Hall 'P -6 2'
_cell_length_a 4.3031
_cell_length_b 4.3031
_cell_length_c 7.6626
_cell_angle_alpha 90.00
_cell_angle_beta 90.00
_cell_angle_gamma 120.00
loop_
_atom_site_label
_atom_site_type_symbol
_atom_site_fract_x
_atom_site_fract_y
_atom_site_fract_z
Yb1 Yb 0.0000 0.0000 0.2296
Ge1 Ge 0.3333 0.6667 0.5000
Ge2 Ge 0.6667 0.3333 0.0000
Ge3 Ge 0.6667 0.3333 0.5000
```



CrTcBr2 | PBE | optimized geometry

Energy above the lowest structure with this stoichiometry (meV/atom): 122
E_form (uncorrected) (eV/atom): 0.185
DOS at the Fermi energy (states/eV per cell): 0.8

```
data_CrTcBr2
_chemical_formula_sum 'Cr1 Tc1 Br2'
_space_group_name_H-M_alt 'P 1 m 1'
_space_group_IT_number 6
_cell_length_a 4.048
_cell_length_b 3.444
_cell_length_c 7.442
_cell_angle_alpha 90.00
_cell_angle_beta 104.30
_cell_angle_gamma 90.00
loop_
_space_group_symop_operation_xyz
'x,y,z'
'x,-y,z'
loop_
_atom_site_label
_atom_site_type_symbol
_atom_site_fract_x
_atom_site_fract_y
_atom_site_fract_z
Cr1 Cr 0.000 0.000 0.000
Tc1 Tc 0.337 0.500 0.967
Br1 Br 0.523 0.000 0.720
Br2 Br 0.831 0.500 0.248
```



NaPm2OsO5 | PBE | optimized geometry

E_form (uncorrected) (eV/atom): -2.232
DOS at the Fermi energy (states/eV per cell): 0.5

```
data_NaPm2OsO5
_chemical_formula_sum 'Na2 Pm4 Os2 O10'
_space_group_name_H-M_alt 'P 4/m b m'
_space_group_IT_number 127
_space_group_name_Hall '-P 4 2ab'
_cell_length_a 6.806
_cell_length_b 6.806
_cell_length_c 5.800
_cell_angle_alpha 90.00
_cell_angle_beta 90.00
_cell_angle_gamma 90.00
loop_
_atom_site_label
_atom_site_type_symbol
_atom_site_fract_x
_atom_site_fract_y
_atom_site_fract_z
Na1 Na 0.000 0.000 0.000
Pm1 Pm 0.178 0.322 0.500
Os1 Os 0.000 0.500 0.000
O1 O 0.000 0.000 0.500
O2 O 0.135 0.635 0.251
```



TmRu4 | PBE | optimized geometry

Calculated formation energy (kJ/mol of atoms): 216
DOS at the Fermi energy (states/eV per cell): 10.3

```
data_TmRu4
_chemical_formula_sum 'Tm1 Ru4'
_space_group_name_H-M_alt 'P m -3 m'
_space_group_IT_number 221
_space_group_name_Hall '-P 4 2 3'
_cell_length_a 4.696
_cell_length_b 4.696
_cell_length_c 4.696
_cell_angle_alpha 90.00
_cell_angle_beta 90.00
_cell_angle_gamma 90.00
loop_
_atom_site_label
_atom_site_type_symbol
_atom_site_fract_x
_atom_site_fract_y
_atom_site_fract_z
Tm1 Tm 0.000 0.000 0.000
Ru1 Ru 0.000 0.000 0.500
Ru2 Ru 0.500 0.500 0.500
```



Rb2Cd16In | PBE | optimized geometry

Calculated formation energy (kJ/mol of atoms): -5
DOS at the Fermi energy (states/eV per cell): 18.2

```
data_Rb2Cd16In
_chemical_formula_sum 'Rb6 Cd48 In3'
_space_group_name_H-M_alt 'R 3 m'
_space_group_IT_number 160
_space_group_name_Hall 'R 3 -2"'
_cell_length_a 10.5611
_cell_length_b 10.5611
_cell_length_c 15.2869
_cell_angle_alpha 90.00
_cell_angle_beta 90.00
_cell_angle_gamma 120.00
loop_
_atom_site_label
_atom_site_type_symbol
_atom_site_fract_x
_atom_site_fract_y
_atom_site_fract_z
Rb1 Rb 0.0000 0.0000 0.0000
Rb2 Rb 0.0000 0.0000 0.3173
Cd1 Cd 0.0000 0.0000 0.5591
Cd2 Cd 0.0002 0.2973 0.6588
Cd3 Cd 0.0049 0.5025 0.8093
Cd4 Cd 0.0051 0.5025 0.1587
Cd5 Cd 0.1692 0.3385 0.8416
In1 In 0.0000 0.0000 0.7587
```



- What is the DOS at the Fermi energy in the seventh record?
  0.8 states/eV per cell



- Which value of DOS at the Fermi energy does entry 2 give?
  10.5 states/eV per cell



- The highest DOS at the Fermi energy belongs to which entry?
  Rb2Cd16In